Entry 1:
Below is a relaxed Zr2TlHPd crystal, with properties calculated at the PBE level.

abc: 4.440 4.440 4.250
angles: 90.00 90.00 90.00
Space group P4/mmm (No. 123)
Unique sites:
Zr 0.000 0.500 0.000 [2 per cell]
Tl 0.000 0.000 0.500 [1 per cell]
H 0.500 0.500 0.000 [1 per cell]
Pd 0.500 0.500 0.500 [1 per cell]

Properties
electronic total energy: -0.2185 hartree per atom
DOS at the Fermi energy: 0.97 states/eV/atom
magnetization: 0.00 μB/f.u.

Entry 2:
Below is a relaxed Tm2HPd crystal, with properties calculated at the PBE level.

abc: 3.8150 3.8150 18.4323
angles: 90.00 90.00 120.00
Space group R-3m (No. 166, hexagonal axes)
Unique sites:
Tm 0.0000 0.0000 0.2400 [6 per cell]
H 0.0000 0.0000 0.5000 [3 per cell]
Pd 0.0000 0.0000 0.0000 [3 per cell]

Properties
energy above the most stable polymorph in this dataset: 0.000 eV/atom
electronic total energy: -0.1794 hartree per atom
DOS at the Fermi energy: 0.51 states/eV/atom
magnetization: 0.00 μB/f.u.

Entry 3:
Below is a relaxed TmHPd3 crystal, with properties calculated at the PBE level.

abc: 4.134 4.134 4.134
angles: 90.00 90.00 90.00
Space group Pm-3m (No. 221)
Unique sites:
Tm 0.000 0.000 0.000 [1 per cell]
H 0.500 0.500 0.500 [1 per cell]
Pd 0.000 0.500 0.500 [3 per cell]

Properties
electronic total energy: -0.1997 hartree per atom
DOS at the Fermi energy: 0.09 states/eV/atom
magnetization: 0.00 μB/f.u.

Entry 4:
Below is a relaxed TmH3Pd crystal, with properties calculated at the PBE level.

abc: 3.668 3.668 3.668
angles: 90.00 90.00 90.00
Space group Pm-3m (No. 221)
Unique sites:
Tm 0.000 0.000 0.000 [1 per cell]
H 0.000 0.500 0.500 [3 per cell]
Pd 0.500 0.500 0.500 [1 per cell]

Properties
electronic total energy: -0.1604 hartree per atom
DOS at the Fermi energy: 0.19 states/eV/atom
magnetization: 0.00 μB/f.u.

Entry 5:
Below is a relaxed Tm2HPd9 crystal, with properties calculated at the PBE level.

abc: 4.099 4.099 11.409
angles: 90.00 90.00 90.00
Space group P4/mmm (No. 123)
Unique sites:
Tm 0.000 0.000 0.182 [2 per cell]
H 0.000 0.000 0.500 [1 per cell]
Pd 0.000 0.500 0.000 [2 per cell]
Pd 0.000 0.500 0.357 [4 per cell]
Pd 0.500 0.500 0.177 [2 per cell]
Pd 0.500 0.500 0.500 [1 per cell]

Properties
electronic total energy: -0.1969 hartree per atom
DOS at the Fermi energy: 0.93 states/eV/atom
magnetization: 0.00 μB/f.u.

Entry 6:
Below is a relaxed Tm6HPd2 crystal, with properties calculated at the PBE level.

abc: 6.328 6.917 11.456
angles: 90.00 123.15 90.00
Space group P2_1/c (No. 14)
Unique sites:
Tm 0.113 0.181 0.442 [4 per cell]
Tm 0.267 0.678 0.440 [4 per cell]
Tm 0.386 0.023 0.249 [4 per cell]
H 0.500 0.000 0.500 [2 per cell]
Pd 0.186 0.113 0.750 [4 per cell]

Properties
electronic total energy: -0.1848 hartree per atom
DOS at the Fermi energy: 1.01 states/eV/atom
magnetization: 0.00 μB/f.u.